P) DFT (PBE-GGA) results for a relaxed structure of BaRe2Os.

a = 3.147 Å, b = 3.147 Å, c = 8.162 Å
α = 90.00°, β = 90.00°, γ = 90.00°
Atoms (fractional coordinates):
Ba 0.000 0.000 0.504
Os 0.500 0.500 0.820
Re 0.500 0.500 0.171
Re 0.000 0.000 0.005

total magnetization = 0.0 μB/f.u.


Q) DFT (PBE-GGA) results for a relaxed structure of BaRe2Os.

a = 2.996 Å, b = 5.022 Å, c = 5.010 Å
α = 90.00°, β = 90.00°, γ = 90.00°
Atoms (fractional coordinates):
Re 0.000 0.000 0.000
Ba 0.500 0.000 0.500
Re 0.500 0.500 0.000
Os 0.000 0.500 0.500

total magnetization = 0.0 μB/f.u.


Most stable to least stable: P), Q)


P) DFT (PBE-GGA) results for a relaxed structure of CaMg2Tl.

a = 6.303 Å, b = 6.303 Å, c = 5.288 Å
α = 65.70°, β = 65.70°, γ = 34.98°
Atoms (fractional coordinates):
Mg 0.019 0.019 0.981
Ca 0.250 0.250 0.250
Mg 0.481 0.481 0.519
Tl 0.750 0.750 0.750

total magnetization = 0.0 μB/f.u.


Q) DFT (PBE-GGA) results for a relaxed structure of CaMg2Tl.

a = 4.390 Å, b = 4.390 Å, c = 11.536 Å
α = 90.00°, β = 90.00°, γ = 90.00°
Atoms (fractional coordinates):
Ca 0.000 0.500 0.764
Mg 0.000 0.500 0.059
Mg 0.500 0.500 0.500
Tl 0.500 0.000 0.678
Ca 0.500 0.000 0.236
Mg 0.000 0.000 0.500
Tl 0.000 0.500 0.322
Mg 0.500 0.000 0.941

total magnetization = 0.0 μB/f.u.


Most stable to least stable: Q), P)